Record 1
La5Sc | GGA-PBE | relaxed

Lattice parameters (Å, degrees): 5.8990 3.7011 19.1184 90.00 90.00 90.00
Last column: nearest neighbours and their distance in Å.
Fractional coordinates of all 12 atoms:
La 0.0000 0.0000 0.0000  2 Sc 3.57, 10 La 3.62-3.89
La 0.0000 0.0000 0.3209  2 Sc 3.60, 10 La 3.61-3.89
La 0.0000 0.5000 0.5000  2 Sc 3.57, 10 La 3.62-3.89
La 0.0000 0.5000 0.8209  2 Sc 3.60, 10 La 3.61-3.89
La 0.5000 0.0000 0.2119  8 La 3.56-3.75, 4 Sc 3.62
La 0.5000 0.0000 0.5525  10 La 3.56-3.74, 2 Sc 3.59
La 0.5000 0.0000 0.8826  12 La 3.68-3.75
La 0.5000 0.5000 0.0525  10 La 3.56-3.74, 2 Sc 3.59
La 0.5000 0.5000 0.3826  12 La 3.68-3.75
La 0.5000 0.5000 0.7119  8 La 3.56-3.75, 4 Sc 3.62
Sc 0.0000 0.0000 0.6596  10 La 3.57-3.62, 2 Sc 3.70
Sc 0.0000 0.5000 0.1596  10 La 3.57-3.62, 2 Sc 3.70

polymorph energy (0 for the lowest one) = 0.024 eV per atom
DFT formation energy = 61.4 meV/atom
magnetic moment = 0.000 μB/atom
DOS(E_F) = 22.6 states/eV per cell


Record 2
La2BePd2 | GGA-PBE | relaxed

Lattice parameters (Å, degrees): 5.7335 5.7335 7.4350 90.00 90.00 90.00
Last column: nearest neighbours and their distance in Å.
Fractional coordinates of all 10 atoms:
La 0.0000 0.5000 0.2500  4 Pd 2.91
La 0.0000 0.5000 0.7500  4 Pd 2.91
La 0.5000 0.0000 0.2500  4 Pd 2.91
La 0.5000 0.0000 0.7500  4 Pd 2.91
Be 0.0000 0.0000 0.0000  2 Pd 2.35
Be 0.5000 0.5000 0.5000  2 Pd 2.35
Pd 0.0000 0.0000 0.3164  1 Be 2.35
Pd 0.0000 0.0000 0.6836  1 Be 2.35
Pd 0.5000 0.5000 0.1836  1 Be 2.35
Pd 0.5000 0.5000 0.8164  1 Be 2.35

polymorph energy (0 for the lowest one) = 0.057 eV per atom
DFT formation energy = -401.3 meV/atom
magnetic moment = 0.000 μB/atom
DOS(E_F) = 6.0 states/eV per cell


Record 3
LiCrIr2 | GGA-PBE | relaxed

Lattice parameters (Å, degrees): 2.6680 3.9051 5.0152 90.00 90.00 90.00
Last column: nearest neighbours and their distance in Å.
Fractional coordinates of all 4 atoms:
Li 0.0000 0.0000 0.0000  6 Ir 2.47-2.57, 2 Li 2.67, 4 Cr 2.70
Cr 0.5000 0.5000 0.2589  1 Ir 2.31
Ir 0.0000 0.0000 0.4916  2 Li 2.47-2.55, 4 Cr 2.64, 2 Ir 2.67
Ir 0.5000 0.5000 0.7981  1 Cr 2.31, 4 Li 2.57

DFT formation energy = -35.9 meV/atom
magnetic moment = 0.009 μB/atom
DOS(E_F) = 2.9 states/eV per cell


Record 4
TiAgMo2Se | GGA-PBE | relaxed

Lattice parameters (Å, degrees): 4.5721 4.5721 5.0126 90.00 90.00 90.00
Last column: nearest neighbours and their distance in Å.
Fractional coordinates of all 5 atoms:
Ti 0.0000 0.0000 0.0000  4 Mo 2.29, 2 Ag 2.51
Ag 0.0000 0.0000 0.5000  2 Ti 2.51
Mo 0.0000 0.5000 0.0000  2 Ti 2.29
Mo 0.5000 0.0000 0.0000  2 Ti 2.29
Se 0.5000 0.5000 0.5000  4 Ag 3.23, 8 Mo 3.39

magnetic moment = 0.000 μB/atom
DOS(E_F) = 4.5 states/eV per cell
formation energy (no corrections) = 1433 meV per atom